The following is a DFT calculation (PBE) of a relaxed KHf crystal.

Summary:
The value obtained for the size of the total moment is 0.989 μB per formula unit. The calculation puts the calculated formation energy at 1.364 eV per atom.

Cell: 10.9939 10.9939 10.9939 Å, 90.00 90.00 90.00°
Space group I-43m (No. 217)
One atom of each set of equivalent atoms:
K 0.2096 0.2096 0.2096
Hf 0.0888 0.0888 0.9112



The following is a DFT calculation (PBE) of a relaxed CdW2Se crystal.

Summary:
As for the raw formation energy: 1.005 eV/atom. The value obtained for the size of the total moment is 0.000 μB per formula unit.

Cell: 3.8974 3.8974 4.8065 Å, 90.00 90.00 90.00°
Space group P4/mmm (No. 123)
One atom of each set of equivalent atoms:
Cd 0.0000 0.0000 0.0000
W 0.0000 0.5000 0.5000
Se 0.5000 0.5000 0.0000



Number 1: ΔE to the lowest computed polymorph 82.3 kJ per mole of atoms. Number 2: ΔE to the lowest computed polymorph 66.6 kJ per mole of atoms.